An optimized crystal structure of CdPdOF2, computed with PBE.

E_form (uncorrected) (eV per atom): -0.56
Excess energy over the best structure of this formula in the dataset (kJ/mol of formula units): 126.5
Total magnetization (μB per atom): 0.39
VASP energy (eV per atom): -3.519

Lattice parameters (Å, degrees): 4.2955 4.2955 4.3747 90.00 90.00 90.00
Fractional positions:
O1 0.0000 0.0000 0.5000
F1 0.5000 0.0000 0.0000
F2 0.0000 0.5000 0.0000
Cd1 0.0000 0.0000 0.0000
Pd1 0.5000 0.5000 0.5000